First-principles (PBE) data for an optimized crystal structure of Pa2ReTc, as listed in the Alexandria database.

Values from the calculation:
total energy: -42.1 eV per formula unit
formation energy from the elements: -0.0632 eV per atom

Cell: 6.9011 6.9011 6.9011 Å, 90.00 90.00 90.00°
Space group Fm-3m (No. 225)
Unique sites:
Pa 0.2500 0.2500 0.2500 x8
Re 0.0000 0.0000 0.0000 x4
Tc 0.0000 0.0000 0.5000 x4

---

First-principles (PBE) data for an optimized crystal structure of Pa6ReTc5, as listed in the Alexandria database.

Values from the calculation:
total energy: -122.8 eV per formula unit
formation energy from the elements: -0.1260 eV per atom

Cell: 4.8848 6.8539 7.7121 Å, 90.00 108.25 90.00°
Space group P2/m (No. 10)
Unique sites:
Pa 0.0000 0.2491 0.0000 x2
Pa 0.3334 0.2498 0.6670 x4
Re 0.5000 0.5000 0.0000 x1
Tc 0.1688 0.0000 0.3376 x2
Tc 0.1687 0.5000 0.3374 x2
Tc 0.5000 0.0000 0.0000 x1

---

Question: Which formula does entry 2 have?
Answer: Pa6ReTc5